Record 1
# CsNbCuSeS2

An optimized crystal structure of CsNbCuSeS2 (PBE-GGA, OQMD via LeMat-Bulk).

```
CsNbCuSeS2
1.0
-6.7183 -3.8410 -2.9887
5.9702 1.3778 5.5928
-5.7777 6.5651 4.5503
Se Cs Nb S Cu
2 2 2 4 2
Direct
0.4328 0.5672 0.7500
0.5672 0.4328 0.2500
0.2570 0.7430 0.2500
0.7430 0.2570 0.7500
0.5000 0.5000 0.5000
0.5000 0.5000 0.0000
0.8960 0.1040 0.0535
0.1040 0.8960 0.9465
0.1040 0.8960 0.5535
0.8960 0.1040 0.4465
0.0323 0.9678 0.7500
0.9678 0.0323 0.2500
```

Raw total energy = -5.236 eV per atom

Record 2
# CsNbCuTeS2

An optimized crystal structure of CsNbCuTeS2 (PBE-GGA, OQMD via LeMat-Bulk).

```
CsNbCuTeS2
1.0
-2.8136 8.2737 -0.3597
1.0265 -7.9113 3.5857
8.6105 3.1203 4.4195
Te S Nb Cs Cu
2 4 2 2 2
Direct
0.0823 0.9177 0.2500
0.9177 0.0823 0.7500
0.5946 0.4054 0.9386
0.4054 0.5946 0.4386
0.5946 0.4054 0.5614
0.4054 0.5946 0.0614
0.0000 0.0000 0.0000
0.0000 0.0000 0.5000
0.7799 0.2201 0.2500
0.2201 0.7799 0.7500
0.5247 0.4753 0.7500
0.4753 0.5247 0.2500
```

Raw total energy = -5.077 eV per atom

Record 3
# CsNbCuTe2S

An optimized crystal structure of CsNbCuTe2S (PBE-GGA, OQMD via LeMat-Bulk).

```
CsNbCuTe2S
1.0
-8.3349 2.5815 1.6326
6.5001 -5.9659 -0.9782
2.1425 0.7301 9.7833
Cs Te Cu S Nb
2 4 2 2 2
Direct
0.7690 0.2310 0.7500
0.2310 0.7690 0.2500
0.8836 0.1164 0.0504
0.8836 0.1164 0.4496
0.1164 0.8836 0.9496
0.1164 0.8836 0.5504
0.9767 0.0233 0.2500
0.0233 0.9767 0.7500
0.5474 0.4526 0.2500
0.4526 0.5474 0.7500
0.5000 0.5000 0.5000
0.5000 0.5000 0.0000
```

Raw total energy = -4.752 eV per atom

Record 4
# CsNb3Cu2Te6

An optimized crystal structure of CsNb3Cu2Te6 (PBE-GGA, OQMD via LeMat-Bulk).

```
CsNb3Cu2Te6
1.0
8.6158 -1.9160 0.0000
8.6158 1.9160 0.0000
-4.6481 0.0000 9.5899
Te Cu Nb Cs
6 2 3 1
Direct
0.4501 0.4501 0.7755
0.2831 0.2831 0.3309
0.7169 0.7169 0.6691
0.8538 0.8538 0.0749
0.5499 0.5499 0.2245
0.1462 0.1462 0.9251
0.2905 0.2905 0.5818
0.7095 0.7095 0.4182
0.3285 0.3285 0.8717
0.0000 0.0000 0.0000
0.6715 0.6715 0.1283
0.0000 0.0000 0.5000
```

Raw total energy = -5.194 eV per atom